(1)
Below is Hf3PtPb after structural relaxation, with properties calculated at the PBE level.

* energy of formation from the pure elements: 1.501 eV/atom
* uncorrected energy: -6.421 eV/atom
* energy relative to the lowest polymorph listed for this composition: 1464 meV per atom
* SG: Pm-3m, No. 221

CIF file:
```
data_Hf3PtPb
_chemical_formula_sum 'Hf3 Pt1 Pb1'
_cell_length_a 5.2112
_cell_length_b 5.2112
_cell_length_c 5.2112
_cell_angle_alpha 90.00
_cell_angle_beta 90.00
_cell_angle_gamma 90.00
_symmetry_space_group_name_H-M 'P 1'
_symmetry_Int_Tables_number 1
loop_
_symmetry_equiv_pos_as_xyz
'x,y,z'
loop_
_atom_site_label
_atom_site_type_symbol
_atom_site_fract_x
_atom_site_fract_y
_atom_site_fract_z
Hf1 Hf 0.0000 0.0000 0.5000
Hf2 Hf 0.0000 0.5000 0.0000
Hf3 Hf 0.5000 0.0000 0.0000
Pt1 Pt 0.5000 0.5000 0.5000
Pb1 Pb 0.0000 0.0000 0.0000
```


(2)
Below is HfPtPb2 after structural relaxation, with properties calculated at the PBE level.

* energy of formation from the pure elements: 0.191 eV/atom
* uncorrected energy: -5.661 eV/atom
* energy relative to the lowest polymorph listed for this composition: 61 meV per atom
* SG: Fm-3m, No. 225

CIF file:
```
data_HfPtPb2
_chemical_formula_sum 'Hf1 Pt1 Pb2'
_cell_length_a 5.0305
_cell_length_b 5.0305
_cell_length_c 5.0305
_cell_angle_alpha 60.00
_cell_angle_beta 60.00
_cell_angle_gamma 60.00
_symmetry_space_group_name_H-M 'P 1'
_symmetry_Int_Tables_number 1
loop_
_symmetry_equiv_pos_as_xyz
'x,y,z'
loop_
_atom_site_label
_atom_site_type_symbol
_atom_site_fract_x
_atom_site_fract_y
_atom_site_fract_z
Hf1 Hf 0.0000 0.0000 0.0000
Pt1 Pt 0.5000 0.5000 0.5000
Pb1 Pb 0.2500 0.2500 0.2500
Pb2 Pb 0.7500 0.7500 0.7500
```


(3)
Below is HfPt3Pb after structural relaxation, with properties calculated at the PBE level.

* energy of formation from the pure elements: 0.288 eV/atom
* uncorrected energy: -6.068 eV/atom
* energy relative to the lowest polymorph listed for this composition: 0 meV per atom
* SG: Pm-3m, No. 221

CIF file:
```
data_HfPt3Pb
_chemical_formula_sum 'Hf1 Pt3 Pb1'
_cell_length_a 4.9996
_cell_length_b 4.9996
_cell_length_c 4.9996
_cell_angle_alpha 90.00
_cell_angle_beta 90.00
_cell_angle_gamma 90.00
_symmetry_space_group_name_H-M 'P 1'
_symmetry_Int_Tables_number 1
loop_
_symmetry_equiv_pos_as_xyz
'x,y,z'
loop_
_atom_site_label
_atom_site_type_symbol
_atom_site_fract_x
_atom_site_fract_y
_atom_site_fract_z
Hf1 Hf 0.0000 0.0000 0.0000
Pt1 Pt 0.0000 0.0000 0.5000
Pt2 Pt 0.0000 0.5000 0.0000
Pt3 Pt 0.5000 0.0000 0.0000
Pb1 Pb 0.5000 0.5000 0.5000
```


(4)
Below is Hf3PtPb after structural relaxation, with properties calculated at the PBE level.

* energy of formation from the pure elements: 0.038 eV/atom
* uncorrected energy: -7.884 eV/atom
* energy relative to the lowest polymorph listed for this composition: 0 meV per atom
* SG: Pm-3m, No. 221

CIF file:
```
data_Hf3PtPb
_chemical_formula_sum 'Hf3 Pt1 Pb1'
_cell_length_a 5.0771
_cell_length_b 5.0771
_cell_length_c 5.0771
_cell_angle_alpha 90.00
_cell_angle_beta 90.00
_cell_angle_gamma 90.00
_symmetry_space_group_name_H-M 'P 1'
_symmetry_Int_Tables_number 1
loop_
_symmetry_equiv_pos_as_xyz
'x,y,z'
loop_
_atom_site_label
_atom_site_type_symbol
_atom_site_fract_x
_atom_site_fract_y
_atom_site_fract_z
Hf1 Hf 0.0000 0.0000 0.5000
Hf2 Hf 0.0000 0.5000 0.0000
Hf3 Hf 0.5000 0.0000 0.0000
Pt1 Pt 0.0000 0.0000 0.0000
Pb1 Pb 0.5000 0.5000 0.5000
```


(5)
Below is HfPtPb2 after structural relaxation, with properties calculated at the PBE level.

* energy of formation from the pure elements: 0.131 eV/atom
* uncorrected energy: -5.722 eV/atom
* energy relative to the lowest polymorph listed for this composition: 0 meV per atom
* SG: I-42d, No. 122

CIF file:
```
data_HfPtPb2
_chemical_formula_sum 'Hf2 Pt2 Pb4'
_cell_length_a 6.4205
_cell_length_b 6.4205
_cell_length_c 6.4205
_cell_angle_alpha 102.54
_cell_angle_beta 102.54
_cell_angle_gamma 124.47
_symmetry_space_group_name_H-M 'P 1'
_symmetry_Int_Tables_number 1
loop_
_symmetry_equiv_pos_as_xyz
'x,y,z'
loop_
_atom_site_label
_atom_site_type_symbol
_atom_site_fract_x
_atom_site_fract_y
_atom_site_fract_z
Hf1 Hf 0.0000 0.0000 0.0000
Hf2 Hf 0.7500 0.2500 0.5000
Pt1 Pt 0.2500 0.7500 0.5000
Pt2 Pt 0.5000 0.5000 0.0000
Pb1 Pb 0.1585 0.6250 0.0335
Pb2 Pb 0.3750 0.4085 0.5335
Pb3 Pb 0.5915 0.1250 0.9665
Pb4 Pb 0.8750 0.8415 0.4665
```


(6)
Below is Hf2SiPtPb after structural relaxation, with properties calculated at the PBE level.

* uncorrected energy: -6.936 eV/atom
* raw formation energy: 0.40 eV per formula unit
* SG: P4/mmm, No. 123

CIF file:
```
data_Hf2SiPtPb
_chemical_formula_sum 'Hf2 Si1 Pt1 Pb1'
_cell_length_a 5.1972
_cell_length_b 5.1972
_cell_length_c 4.4649
_cell_angle_alpha 90.00
_cell_angle_beta 90.00
_cell_angle_gamma 90.00
_symmetry_space_group_name_H-M 'P 1'
_symmetry_Int_Tables_number 1
loop_
_symmetry_equiv_pos_as_xyz
'x,y,z'
loop_
_atom_site_label
_atom_site_type_symbol
_atom_site_fract_x
_atom_site_fract_y
_atom_site_fract_z
Hf1 Hf 0.0000 0.5000 0.0000
Hf2 Hf 0.5000 0.0000 0.0000
Si1 Si 0.0000 0.0000 0.5000
Pt1 Pt 0.0000 0.0000 0.0000
Pb1 Pb 0.5000 0.5000 0.5000
```


(7)
Below is HfSnPtPb2 after structural relaxation, with properties calculated at the PBE level.

* energy of formation from the pure elements: 0.598 eV/atom
* uncorrected energy: -4.885 eV/atom
* SG: P4/mmm, No. 123

CIF file:
```
data_HfSnPtPb2
_chemical_formula_sum 'Hf1 Sn1 Pt1 Pb2'
_cell_length_a 5.4527
_cell_length_b 5.4527
_cell_length_c 5.0221
_cell_angle_alpha 90.00
_cell_angle_beta 90.00
_cell_angle_gamma 90.00
_symmetry_space_group_name_H-M 'P 1'
_symmetry_Int_Tables_number 1
loop_
_symmetry_equiv_pos_as_xyz
'x,y,z'
loop_
_atom_site_label
_atom_site_type_symbol
_atom_site_fract_x
_atom_site_fract_y
_atom_site_fract_z
Hf1 Hf 0.0000 0.0000 0.0000
Sn1 Sn 0.5000 0.5000 0.0000
Pt1 Pt 0.5000 0.5000 0.5000
Pb1 Pb 0.0000 0.5000 0.5000
Pb2 Pb 0.5000 0.0000 0.5000
```


(8)
Below is HfTa2PtPb after structural relaxation, with properties calculated at the PBE level.

* energy of formation from the pure elements: 1.137 eV/atom
* uncorrected energy: -7.544 eV/atom
* SG: P4/mmm, No. 123

CIF file:
```
data_HfTa2PtPb
_chemical_formula_sum 'Hf1 Ta2 Pt1 Pb1'
_cell_length_a 4.9707
_cell_length_b 4.9707
_cell_length_c 5.0101
_cell_angle_alpha 90.00
_cell_angle_beta 90.00
_cell_angle_gamma 90.00
_symmetry_space_group_name_H-M 'P 1'
_symmetry_Int_Tables_number 1
loop_
_symmetry_equiv_pos_as_xyz
'x,y,z'
loop_
_atom_site_label
_atom_site_type_symbol
_atom_site_fract_x
_atom_site_fract_y
_atom_site_fract_z
Hf1 Hf 0.0000 0.0000 0.0000
Ta1 Ta 0.0000 0.5000 0.5000
Ta2 Ta 0.5000 0.0000 0.5000
Pt1 Pt 0.5000 0.5000 0.5000
Pb1 Pb 0.5000 0.5000 0.0000
```


| no. | M_tot (μB per cell) |
| --- | --- |
| 1 | 0.000 |
| 2 | 0.000 |
| 3 | 0.000 |
| 4 | 0.000 |
| 5 | 0.000 |
| 6 | 0.000 |
| 7 | 0.000 |
| 8 | 0.000 |